(1)
Entry from Alexandria via LeMat-Bulk: an optimized crystal structure of Ni3P2O8 (PBE with a Hubbard U).

Results
Energy above the most stable polymorph in this dataset   0.049 eV/atom
Uncorrected energy   -322.9 eV for the cell shown

Lattice parameters (Å, degrees): 5.867 11.027 7.979 90.00 90.00 90.00
Space group Cmce (No. 64)
Symmetry-distinct sites (fractional):
Ni  0.000  0.000  0.000 x4
Ni  0.250  0.136  0.250 x8
P  0.000  0.123  0.616 x8
O  0.000  0.009  0.743 x8
O  0.000  0.241  0.723 x8
O  0.219  0.120  0.508 x16


(2)
Entry from Alexandria via LeMat-Bulk: an optimized crystal structure of Ni2P5O15 (PBE with a Hubbard U).

Results
Uncorrected energy   -294.8 eV for the cell shown

Lattice parameters (Å, degrees): 5.262 8.150 13.569 90.00 107.19 90.00
Space group P2/c (No. 13)
Symmetry-distinct sites (fractional):
Ni  0.070  0.199  0.468 x4
P  0.000  0.429  0.250 x2
P  0.353  0.323  0.893 x4
P  0.493  0.013  0.141 x4
O  0.073  0.339  0.166 x4
O  0.156  0.302  0.952 x4
O  0.201  0.012  0.583 x4
O  0.247  0.448  0.799 x4
O  0.347  0.120  0.406 x4
O  0.360  0.160  0.825 x4
O  0.365  0.365  0.548 x4
O  0.500  0.089  0.250 x2


(3)
Entry from Alexandria via LeMat-Bulk: an optimized crystal structure of NiP2O2 (PBE with a Hubbard U).

Results
Energy above the most stable polymorph in this dataset   0.000 eV/atom
Uncorrected energy   -25.1 eV for the cell shown

Lattice parameters (Å, degrees): 3.383 3.383 4.917 90.00 90.00 90.00
Space group P4/mmm (No. 123)
Symmetry-distinct sites (fractional):
Ni  0.000  0.000  0.000 x1
P  0.500  0.500  0.000 x1
P  0.500  0.500  0.500 x1
O  0.000  0.500  0.500 x2